5
Lattice="4.238 0.000 0.000 0.000 4.238 0.000 0.000 0.000 4.238" Properties=species:S:1:pos:R:3 comment="AlCrNi3, optimized geometry, DFT PBE" delta_e_f_ev_per_atom=0.985 relative_energy_mev_per_atom=0.0 pbc="T T T"
Ni 0.000 2.119 0.000
Ni 0.000 0.000 2.119
Ni 2.119 0.000 0.000
Al 2.119 2.119 2.119
Cr 0.000 0.000 0.000